# MnAgIrO6

An optimized crystal structure of MnAgIrO6 (PBE+U, Alexandria).

Results
The value obtained for the total energy is -6.131 eV per atom. As for the density of states at the Fermi level: 0.618 states/eV per atom. As for the density: 6.96 g/cm3.

Geometry as CIF:
```
data_MnAgIrO6
_chemical_formula_sum 'Mn2 Ag2 Ir2 O12'
_cell_length_a 5.1233
_cell_length_b 5.1233
_cell_length_c 9.4698
_cell_angle_alpha 90.00
_cell_angle_beta 90.00
_cell_angle_gamma 120.00
_symmetry_space_group_name_H-M 'P -3 1 c'
_symmetry_Int_Tables_number 163
_symmetry_space_group_name_Hall '-P 3 2c'
loop_
_atom_site_label
_atom_site_type_symbol
_atom_site_fract_x
_atom_site_fract_y
_atom_site_fract_z
Mn1 Mn 0.3333 0.6667 0.2500
Ag1 Ag 0.0000 0.0000 0.0000
Ir1 Ir 0.3333 0.6667 0.7500
O1 O 0.0008 0.3717 0.1379
```